# TbYPd2 GGA-PBE relaxed
# Energy of formation from the pure elements   -0.874 eV per atom
# Calculated density   8.77 g/cm³
# DOS at the Fermi energy   1.885 states/eV/f.u.
data_TbYPd2
_chemical_formula_sum 'Tb1 Y1 Pd2'
_space_group_name_H-M_alt 'P 4/m m m'
_space_group_IT_number 123
_space_group_name_Hall '-P 4 2'
_cell_length_a 5.030
_cell_length_b 5.030
_cell_length_c 3.446
_cell_angle_alpha 90.00
_cell_angle_beta 90.00
_cell_angle_gamma 90.00
loop_
_atom_site_label
_atom_site_type_symbol
_atom_site_fract_x
_atom_site_fract_y
_atom_site_fract_z
Tb1 Tb 0.000 0.000 0.000
Y1 Y 0.500 0.500 0.000
Pd1 Pd 0.000 0.500 0.500

=====

# ScMo3Os GGA-PBE relaxed
# Energy of formation from the pure elements   2.191 eV per atom
# Offset from the most stable computed form   4.90 eV/f.u.
# Calculated density   9.64 g/cm³
# DOS at the Fermi energy   9.252 states/eV/f.u.
data_ScMo3Os
_chemical_formula_sum 'Sc1 Mo3 Os1'
_space_group_name_H-M_alt 'P m -3 m'
_space_group_IT_number 221
_space_group_name_Hall '-P 4 2 3'
_cell_length_a 4.484
_cell_length_b 4.484
_cell_length_c 4.484
_cell_angle_alpha 90.00
_cell_angle_beta 90.00
_cell_angle_gamma 90.00
loop_
_atom_site_label
_atom_site_type_symbol
_atom_site_fract_x
_atom_site_fract_y
_atom_site_fract_z
Sc1 Sc 0.000 0.000 0.000
Mo1 Mo 0.000 0.000 0.500
Os1 Os 0.500 0.500 0.500

=====

# Cd2SiHg GGA-PBE relaxed
# Offset from the most stable computed form   0.23 eV/f.u.
# Calculated density   8.74 g/cm³
# E_form (uncorrected)   29.36 kJ/mol of atoms
# DOS at the Fermi energy   1.576 states/eV/f.u.
data_Cd2SiHg
_chemical_formula_sum 'Cd2 Si1 Hg1'
_space_group_name_H-M_alt 'P 4 m m'
_space_group_IT_number 99
_space_group_name_Hall 'P 4 -2'
_cell_length_a 3.230
_cell_length_b 3.230
_cell_length_c 8.259
_cell_angle_alpha 90.00
_cell_angle_beta 90.00
_cell_angle_gamma 90.00
loop_
_atom_site_label
_atom_site_type_symbol
_atom_site_fract_x
_atom_site_fract_y
_atom_site_fract_z
Cd1 Cd 0.000 0.000 0.000
Cd2 Cd 0.500 0.500 0.269
Si1 Si 0.500 0.500 0.774
Hg1 Hg 0.000 0.000 0.539

=====

# Pr6Sm2Dy3Mg GGA-PBE relaxed
# Energy of formation from the pure elements   0.014 eV per atom
# Calculated density   6.85 g/cm³
# DOS at the Fermi energy   12.409 states/eV/f.u.
data_Pr6Sm2Dy3Mg
_chemical_formula_sum 'Pr12 Sm4 Dy6 Mg2'
_space_group_name_H-M_alt 'C 1 2/m 1'
_space_group_IT_number 12
_space_group_name_Hall '-C 2y'
_cell_length_a 6.286
_cell_length_b 10.895
_cell_length_c 11.919
_cell_angle_alpha 90.00
_cell_angle_beta 100.15
_cell_angle_gamma 90.00
loop_
_atom_site_label
_atom_site_type_symbol
_atom_site_fract_x
_atom_site_fract_y
_atom_site_fract_z
Pr1 Pr 0.248 0.000 0.248
Pr2 Pr 0.249 0.166 0.751
Sm1 Sm 0.000 0.333 0.500
Dy1 Dy 0.000 0.166 0.000
Dy2 Dy 0.000 0.500 0.000
Mg1 Mg 0.000 0.000 0.500

=====

# PmThIr2 GGA-PBE relaxed
# Energy of formation from the pure elements   -0.844 eV per atom
# Offset from the most stable computed form   0.00 eV/f.u.
# Calculated density   13.66 g/cm³
# DOS at the Fermi energy   1.949 states/eV/f.u.
data_PmThIr2
_chemical_formula_sum 'Pm1 Th1 Ir2'
_space_group_name_H-M_alt 'P 1 m 1'
_space_group_IT_number 6
_space_group_name_Hall 'P -2y'
_cell_length_a 3.921
_cell_length_b 4.306
_cell_length_c 5.826
_cell_angle_alpha 90.00
_cell_angle_beta 109.76
_cell_angle_gamma 90.00
loop_
_atom_site_label
_atom_site_type_symbol
_atom_site_fract_x
_atom_site_fract_y
_atom_site_fract_z
Pm1 Pm 0.000 0.000 0.000
Th1 Th 0.722 0.500 0.443
Ir1 Ir 0.269 0.000 0.539
Ir2 Ir 0.450 0.500 0.900

=====

# MgZrTlRh GGA-PBE relaxed
# Energy of formation from the pure elements   -0.280 eV per atom
# Offset from the most stable computed form   0.41 eV/f.u.
# Calculated density   9.04 g/cm³
# DOS at the Fermi energy   1.880 states/eV/f.u.
data_MgZrTlRh
_chemical_formula_sum 'Mg4 Zr4 Tl4 Rh4'
_space_group_name_H-M_alt 'F -4 3 m'
_space_group_IT_number 216
_space_group_name_Hall 'F -4 2 3'
_cell_length_a 6.772
_cell_length_b 6.772
_cell_length_c 6.772
_cell_angle_alpha 90.00
_cell_angle_beta 90.00
_cell_angle_gamma 90.00
loop_
_atom_site_label
_atom_site_type_symbol
_atom_site_fract_x
_atom_site_fract_y
_atom_site_fract_z
Mg1 Mg 0.000 0.000 0.000
Zr1 Zr 0.000 0.000 0.500
Tl1 Tl 0.250 0.250 0.750
Rh1 Rh 0.250 0.250 0.250

=====

# Tb4TmTe2 GGA-PBE relaxed
# Calculated density   7.80 g/cm³
# E_form (uncorrected)   -50.07 kJ/mol of atoms
# DOS at the Fermi energy   5.911 states/eV/f.u.
data_Tb4TmTe2
_chemical_formula_sum 'Tb12 Tm3 Te6'
_space_group_name_H-M_alt 'R -3 m'
_space_group_IT_number 166
_space_group_name_Hall '-R 3 2"'
_cell_length_a 5.4243
_cell_length_b 5.4243
_cell_length_c 26.5554
_cell_angle_alpha 90.00
_cell_angle_beta 90.00
_cell_angle_gamma 120.00
loop_
_atom_site_label
_atom_site_type_symbol
_atom_site_fract_x
_atom_site_fract_y
_atom_site_fract_z
Tb1 Tb 0.0000 0.0000 0.1339
Tb2 Tb 0.0000 0.0000 0.2658
Tm1 Tm 0.0000 0.0000 0.5000
Te1 Te 0.0000 0.0000 0.3840

=====

# Rb2B2Ru GGA-PBE relaxed
# Energy of formation from the pure elements   1.797 eV per atom
# Offset from the most stable computed form   4.26 eV/f.u.
# Calculated density   4.48 g/cm³
# DOS at the Fermi energy   5.282 states/eV/f.u.
data_Rb2B2Ru
_chemical_formula_sum 'Rb4 B4 Ru2'
_space_group_name_H-M_alt 'I 4/m m m'
_space_group_IT_number 139
_space_group_name_Hall '-I 4 2'
_cell_length_a 4.163
_cell_length_b 4.163
_cell_length_c 12.546
_cell_angle_alpha 90.00
_cell_angle_beta 90.00
_cell_angle_gamma 90.00
loop_
_atom_site_label
_atom_site_type_symbol
_atom_site_fract_x
_atom_site_fract_y
_atom_site_fract_z
Rb1 Rb 0.000 0.500 0.250
B1 B 0.000 0.000 0.063
Ru1 Ru 0.000 0.000 0.500